CeTeO | PBE | optimized geometry

a b c (Å): 3.9346 3.9346 4.8568
angles (deg): 90.00 90.00 120.00
Closest atoms and distances in Å follow each position.
Space group P-6m2 (No. 187)
Inequivalent atoms, fractional coordinates:
Ce 0.0000 0.0000 0.0000 [1 per cell]  3 O 2.27
Te 0.6667 0.3333 0.5000 [1 per cell]  6 Ce 3.33, 6 O 3.33
O 0.3333 0.6667 0.0000 [1 per cell]  3 Ce 2.27

Results
size of the total moment: 0.17 μB/cell
formation energy (no corrections): -2.298 eV per atom